No. 1
Material: La5PmTm
Method: DFT, GGA-PBE
State: relaxed

## Properties
**Energy of formation from the pure elements**: 15.2 kJ/mol of atoms
**Space-group type**: C2/c (15)

Cell lengths 6.2855, 9.4375, 9.1990 Å; angles 86.21, 78.56, 70.55 degrees
Closest atoms and distances in Å follow each position.
Element x y z (fractional)
1 La 0.3886 0.6283 0.8523  7 La 3.36-3.72, 1 Tm 3.66, 1 Pm 3.70
2 La 0.4555 0.3022 0.5335  4 La 3.36-3.57, 1 Tm 3.49, 1 Pm 3.63
3 La 0.0170 0.3717 0.3523  7 La 3.36-3.72, 1 Tm 3.66, 1 Pm 3.70
4 La 0.8597 0.2805 0.7500  2 Pm 3.39, 6 La 3.47-3.72
5 La 0.2423 0.3022 0.9665  4 La 3.36-3.57, 1 Tm 3.49, 1 Pm 3.63
6 La 0.7577 0.6978 0.0335  4 La 3.36-3.57, 1 Tm 3.49, 1 Pm 3.63
7 La 0.1403 0.7195 0.2500  2 Pm 3.39, 6 La 3.47-3.72
8 La 0.9830 0.6283 0.6477  7 La 3.36-3.72, 1 Tm 3.66, 1 Pm 3.70
9 La 0.5445 0.6978 0.4665  4 La 3.36-3.57, 1 Tm 3.49, 1 Pm 3.63
10 La 0.6114 0.3717 0.1477  7 La 3.36-3.72, 1 Tm 3.66, 1 Pm 3.70
11 Pm 0.0000 0.0000 0.0000  6 La 3.39-3.70, 2 Tm 3.51
12 Pm 0.0000 0.0000 0.5000  6 La 3.39-3.70, 2 Tm 3.51
13 Tm 0.5106 0.9788 0.7500  6 La 3.49-3.77, 2 Pm 3.51
14 Tm 0.4894 0.0212 0.2500  6 La 3.49-3.77, 2 Pm 3.51



No. 2
Material: Cs2Cd2Br5
Method: DFT, GGA-PBE
State: relaxed

## Properties
**Space-group type**: P4/mmm (123)
**Energy relative to the lowest polymorph listed for this composition**: 0.00 kJ per mole of atoms
**Uncorrected formation energy**: -1.1799 eV/atom

Cell lengths 5.6492, 5.6492, 11.2111 Å; angles 90.00, 90.00, 90.00 degrees
Closest atoms and distances in Å follow each position.
Element x y z (fractional)
1 Cs 0.0372 0.0372 0.0000  8 Br 3.74
2 Cs 0.0371 0.0371 0.5000  12 Br 3.99-4.24
3 Cd 0.5375 0.5375 0.2480  5 Br 2.83-2.84
4 Cd 0.5375 0.5375 0.7520  5 Br 2.83-2.84
5 Br 0.0374 0.5373 0.7815  2 Cd 2.84
6 Br 0.5373 0.0374 0.2185  2 Cd 2.84
7 Br 0.5373 0.0374 0.7815  2 Cd 2.84
8 Br 0.0374 0.5373 0.2185  2 Cd 2.84
9 Br 0.5373 0.5373 0.5000  2 Cd 2.83



No. 3
Material: Sm4CN2O
Method: DFT, GGA-PBE
State: relaxed

## Properties
**Space-group type**: I-4m2 (119)
**Uncorrected formation energy**: -1.5296 eV/atom

Cell lengths 5.0854, 5.0854, 6.2416 Å; angles 114.04, 114.04, 90.00 degrees
Closest atoms and distances in Å follow each position.
Element x y z (fractional)
1 Sm 0.0032 0.5032 0.0064  3 N 2.52-2.54, 2 O 2.54, 1 C 2.58
2 Sm 0.4968 0.9968 0.9936  3 N 2.52-2.54, 2 O 2.54, 1 C 2.58
3 Sm 0.7544 0.7544 0.5087  3 N 2.51-2.54, 2 C 2.54, 1 O 2.60
4 Sm 0.2456 0.2456 0.4913  3 N 2.51-2.54, 2 C 2.54, 1 O 2.60
5 C 0.7500 0.2500 0.5000  6 Sm 2.54-2.58
6 N 0.2500 0.7500 0.5000  6 Sm 2.52-2.54
7 N 0.0000 0.0000 0.0000  6 Sm 2.51-2.54
8 O 0.5000 0.5000 0.0000  6 Sm 2.54-2.60



No. 4
Material: HoGa4CuRu2
Method: DFT, GGA-PBE
State: relaxed

## Properties
**Energy of formation from the pure elements**: -31.9 kJ/mol of atoms
**Space-group type**: R-3m (166)

Cell lengths 4.2489, 4.2489, 8.7633 Å; angles 75.97, 75.97, 60.00 degrees
Closest atoms and distances in Å follow each position.
Element x y z (fractional)
1 Ho 0.0000 0.0000 0.0000  8 Ga 2.94-3.25
2 Ga 0.3975 0.3975 0.8075  1 Cu 2.59, 3 Ru 2.63
3 Ga 0.8712 0.8712 0.3865  4 Ru 2.55-2.59, 3 Cu 2.63
4 Ga 0.1288 0.1288 0.6135  4 Ru 2.55-2.59, 3 Cu 2.63
5 Ga 0.6025 0.6025 0.1925  1 Cu 2.59, 3 Ru 2.63
6 Cu 0.5000 0.5000 0.5000  8 Ga 2.59-2.63
7 Ru 0.7686 0.7686 0.6942  7 Ga 2.55-2.63
8 Ru 0.2314 0.2314 0.3058  7 Ga 2.55-2.63



No. 5
Material: Zn4Sb2As
Method: DFT, GGA-PBE
State: relaxed

## Properties
**Space-group type**: Pbca (61)
**Uncorrected formation energy**: 0.0401 eV/atom

Cell lengths 6.9110, 6.0072, 15.4858 Å; angles 90.00, 90.00, 90.00 degrees
Closest atoms and distances in Å follow each position.
Element x y z (fractional)
1 Zn 0.7629 0.7364 0.5770  2 As 2.57-2.60, 2 Sb 2.73-2.77
2 Zn 0.2629 0.7636 0.4230  2 As 2.57-2.60, 2 Sb 2.73-2.77
3 Zn 0.2371 0.2364 0.9230  2 As 2.57-2.60, 2 Sb 2.73-2.77
4 Zn 0.7371 0.2636 0.0770  2 As 2.57-2.60, 2 Sb 2.73-2.77
5 Zn 0.2371 0.2636 0.4230  2 As 2.57-2.60, 2 Sb 2.73-2.77
6 Zn 0.7371 0.2364 0.5770  2 As 2.57-2.60, 2 Sb 2.73-2.77
7 Zn 0.7629 0.7636 0.0770  2 As 2.57-2.60, 2 Sb 2.73-2.77
8 Zn 0.2629 0.7364 0.9230  2 As 2.57-2.60, 2 Sb 2.73-2.77
9 Zn 0.1383 0.0320 0.6537  1 As 2.57, 2 Sb 2.67-2.69
10 Zn 0.6383 0.4680 0.3463  1 As 2.57, 2 Sb 2.67-2.69
11 Zn 0.8617 0.5320 0.8463  1 As 2.57, 2 Sb 2.67-2.69
12 Zn 0.3617 0.9680 0.1537  1 As 2.57, 2 Sb 2.67-2.69
13 Zn 0.8617 0.9680 0.3463  1 As 2.57, 2 Sb 2.67-2.69
14 Zn 0.3617 0.5320 0.6537  1 As 2.57, 2 Sb 2.67-2.69
15 Zn 0.1383 0.4680 0.1537  1 As 2.57, 2 Sb 2.67-2.69
16 Zn 0.6383 0.0320 0.8463  1 As 2.57, 2 Sb 2.67-2.69
17 Sb 0.0157 0.9766 0.8175  5 Zn 2.67-2.91
18 Sb 0.5157 0.5234 0.1825  5 Zn 2.67-2.91
19 Sb 0.9843 0.4766 0.6825  5 Zn 2.67-2.91
20 Sb 0.4843 0.0234 0.3175  5 Zn 2.67-2.91
21 Sb 0.9843 0.0234 0.1825  5 Zn 2.67-2.91
22 Sb 0.4843 0.4766 0.8175  5 Zn 2.67-2.91
23 Sb 0.0157 0.5234 0.3175  5 Zn 2.67-2.91
24 Sb 0.5157 0.9766 0.6825  5 Zn 2.67-2.91
25 As 0.0000 0.0000 0.5000  6 Zn 2.57-2.60
26 As 0.5000 0.5000 0.5000  6 Zn 2.57-2.60
27 As 0.0000 0.5000 0.0000  6 Zn 2.57-2.60
28 As 0.5000 0.0000 0.0000  6 Zn 2.57-2.60



No. 6
Material: Ba8Na3RhAu3
Method: DFT, GGA-PBE
State: relaxed

## Properties
**Energy of formation from the pure elements**: -30.5 kJ/mol of atoms
**Space-group type**: C2/m (12)

Cell lengths 9.4690, 9.4626, 11.1913 Å; angles 115.06, 89.95, 119.97 degrees
Closest atoms and distances in Å follow each position.
Element x y z (fractional)
1 Ba 0.2730 0.5457 0.3190  3 Au 3.25-3.26
2 Ba 0.7270 0.4543 0.6810  3 Au 3.25-3.26
3 Ba 0.7836 0.5669 0.3218  1 Rh 3.11, 2 Au 3.31
4 Ba 0.2164 0.4331 0.6782  1 Rh 3.11, 2 Au 3.31
5 Ba 0.7837 0.0385 0.3221  1 Rh 3.11, 2 Au 3.31
6 Ba 0.2163 0.9615 0.6779  1 Rh 3.11, 2 Au 3.31
7 Ba 0.2549 0.0382 0.3217  1 Rh 3.11, 2 Au 3.31
8 Ba 0.7451 0.9618 0.6783  1 Rh 3.11, 2 Au 3.31
9 Na 0.0000 0.0000 0.0000  6 Ba 4.12-4.14
10 Na 0.0000 0.5000 0.0000  6 Ba 4.11-4.15
11 Na 0.5000 0.5000 0.0000  6 Ba 4.12-4.14
12 Rh 0.0000 0.0000 0.5000  6 Ba 3.11
13 Au 0.5000 0.0000 0.5000  6 Ba 3.26-3.31
14 Au 0.5000 0.5000 0.5000  6 Ba 3.25-3.31
15 Au 0.0000 0.5000 0.5000  6 Ba 3.25-3.31



No. 7
Material: Pm4Y9Al11
Method: DFT, GGA-PBE
State: relaxed

## Properties
**Energy of formation from the pure elements**: -32.1 kJ/mol of atoms
**Space-group type**: Cmmm (65)

Cell lengths 3.3840, 13.6858, 13.6858 Å; angles 110.78, 90.00, 90.00 degrees
Closest atoms and distances in Å follow each position.
Element x y z (fractional)
1 Pm 0.5000 0.5969 0.7612  6 Al 3.21-3.37, 3 Y 3.34-3.36, 2 Pm 3.38
2 Pm 0.5000 0.4031 0.2388  6 Al 3.21-3.37, 3 Y 3.34-3.36, 2 Pm 3.38
3 Pm 0.5000 0.7612 0.5969  6 Al 3.21-3.37, 3 Y 3.34-3.36, 2 Pm 3.38
4 Pm 0.5000 0.2388 0.4031  6 Al 3.21-3.37, 3 Y 3.34-3.36, 2 Pm 3.38
5 Y 0.5000 0.6114 0.1646  8 Al 3.12-3.35, 1 Pm 3.35, 3 Y 3.38-3.48
6 Y 0.5000 0.3886 0.8354  8 Al 3.12-3.35, 1 Pm 3.35, 3 Y 3.38-3.48
7 Y 0.5000 0.1646 0.6114  8 Al 3.12-3.35, 1 Pm 3.35, 3 Y 3.38-3.48
8 Y 0.5000 0.8354 0.3886  8 Al 3.12-3.35, 1 Pm 3.35, 3 Y 3.38-3.48
9 Y 0.5000 0.7958 0.9921  8 Al 3.09-3.24, 3 Y 3.30-3.38, 1 Pm 3.36
10 Y 0.5000 0.2042 0.0079  8 Al 3.09-3.24, 3 Y 3.30-3.38, 1 Pm 3.36
11 Y 0.5000 0.9921 0.7958  8 Al 3.09-3.24, 3 Y 3.30-3.38, 1 Pm 3.36
12 Y 0.5000 0.0079 0.2042  8 Al 3.09-3.24, 3 Y 3.30-3.38, 1 Pm 3.36
13 Y 0.5000 0.5000 0.5000  4 Al 3.21, 4 Pm 3.34, 2 Y 3.38
14 Al 0.0000 0.5874 0.9631  1 Al 2.91, 6 Y 3.15-3.22
15 Al 0.0000 0.4126 0.0369  1 Al 2.91, 6 Y 3.15-3.22
16 Al 0.0000 0.9631 0.5874  1 Al 2.91, 6 Y 3.15-3.22
17 Al 0.0000 0.0369 0.4126  1 Al 2.91, 6 Y 3.15-3.22
18 Al 0.0000 0.6208 0.3792  6 Y 3.21-3.35, 4 Pm 3.37, 2 Al 3.38
19 Al 0.0000 0.3792 0.6208  6 Y 3.21-3.35, 4 Pm 3.37, 2 Al 3.38
20 Al 0.0000 0.8104 0.1896  8 Y 3.12-3.13, 4 Al 3.38-3.49
21 Al 0.0000 0.1896 0.8104  8 Y 3.12-3.13, 4 Al 3.38-3.49
22 Al 0.0000 0.0000 0.0000  2 Al 2.99, 8 Y 3.24
23 Al 0.0000 0.8077 0.8077  1 Al 2.99, 4 Y 3.09, 4 Pm 3.21
24 Al 0.0000 0.1923 0.1923  1 Al 2.99, 4 Y 3.09, 4 Pm 3.21



No. 8
Material: KTi2TlO6
Method: DFT, GGA-PBE
State: relaxed

## Properties
**Space-group type**: C2/c (15)
**Uncorrected formation energy**: -2.2285 eV/atom

Cell lengths 6.4965, 7.6374, 7.6374 Å; angles 102.18, 75.79, 75.79 degrees
Closest atoms and distances in Å follow each position.
Element x y z (fractional)
1 K 0.2500 0.8962 0.1038  6 O 2.74-2.75
2 K 0.7500 0.1038 0.8962  6 O 2.74-2.75
3 Ti 0.3270 0.7163 0.5720  4 O 1.81-1.94
4 Ti 0.1730 0.4280 0.2837  4 O 1.81-1.94
5 Ti 0.6730 0.2837 0.4280  4 O 1.81-1.94
6 Ti 0.8270 0.5720 0.7163  4 O 1.81-1.94
7 Tl 0.2500 0.2108 0.7892  4 O 2.12-2.19
8 Tl 0.7500 0.7892 0.2108  4 O 2.12-2.19
9 O 0.2037 0.9327 0.7652  1 Ti 1.81
10 O 0.2963 0.2348 0.0673  1 Ti 1.81
11 O 0.7963 0.0673 0.2348  1 Ti 1.81
12 O 0.7037 0.7652 0.9327  1 Ti 1.81
13 O 0.4282 0.8072 0.3766  1 Ti 1.82
14 O 0.0718 0.6234 0.1928  1 Ti 1.82
15 O 0.5718 0.1928 0.6234  1 Ti 1.82
16 O 0.9282 0.3766 0.8072  1 Ti 1.82
17 O 0.0580 0.6461 0.5833  2 Ti 1.87-1.94
18 O 0.4420 0.4167 0.3539  2 Ti 1.87-1.94
19 O 0.9420 0.3539 0.4167  2 Ti 1.87-1.94
20 O 0.5580 0.5833 0.6461  2 Ti 1.87-1.94



No. 9
Material: KSi2Sb
Method: DFT, GGA-PBE
State: relaxed

## Properties
**Space-group type**: F-43m (216)
**Uncorrected formation energy**: 0.6730 eV/atom

Cell lengths 5.1428, 5.1428, 5.1428 Å; angles 60.00, 60.00, 60.00 degrees
Closest atoms and distances in Å follow each position.
Element x y z (fractional)
1 K 0.5000 0.5000 0.5000  4 Sb 3.15, 4 Si 3.15
2 Sb 0.7500 0.7500 0.7500  4 K 3.15, 4 Si 3.15
3 Si 0.0000 0.0000 0.0000  4 Sb 3.15, 4 Si 3.15
4 Si 0.2500 0.2500 0.2500  4 K 3.15, 4 Si 3.15



No. 10
Material: ScSb2TeRh
Method: DFT, GGA-PBE
State: relaxed

## Properties
**Space-group type**: P4/mmm (123)
**Energy relative to the lowest polymorph listed for this composition**: 0.00 kJ per mole of atoms
**Uncorrected formation energy**: 0.1120 eV/atom

Cell lengths 5.0410, 5.0410, 5.4867 Å; angles 90.00, 90.00, 90.00 degrees
Closest atoms and distances in Å follow each position.
Element x y z (fractional)
1 Sc 0.5000 0.5000 0.5000  4 Te 3.56, 8 Sb 3.73
2 Sb 0.0000 0.5000 0.0000  2 Rh 2.52
3 Sb 0.5000 0.0000 0.0000  2 Rh 2.52
4 Te 0.0000 0.0000 0.5000  2 Rh 2.74
5 Rh 0.0000 0.0000 0.0000  4 Sb 2.52, 2 Te 2.74



No. 11
Material: CeZrBeN3
Method: DFT, GGA-PBE
State: relaxed

## Properties
**Space-group type**: P2_1/m (11)
**Uncorrected formation energy**: -1.3831 eV/atom

Cell lengths 3.2387, 6.9503, 6.8630 Å; angles 102.67, 90.00, 90.00 degrees
Closest atoms and distances in Å follow each position.
Element x y z (fractional)
1 Ce 0.7500 0.8202 0.7853  7 N 2.41-2.65
2 Ce 0.2500 0.1798 0.2147  7 N 2.41-2.65
3 Zr 0.2500 0.6577 0.1732  6 N 2.21-2.29
4 Zr 0.7500 0.3423 0.8268  6 N 2.21-2.29
5 Be 0.2500 0.0790 0.5982  4 N 1.70-1.85
6 Be 0.7500 0.9210 0.4018  4 N 1.70-1.85
7 N 0.2500 0.8354 0.4831  3 Be 1.70-1.85
8 N 0.7500 0.8831 0.1442  1 Be 1.73
9 N 0.7500 0.4289 0.1619  3 Zr 2.25-2.26, 2 Ce 2.45
10 N 0.7500 0.1646 0.5169  3 Be 1.70-1.85
11 N 0.2500 0.5711 0.8381  3 Zr 2.25-2.26, 2 Ce 2.45
12 N 0.2500 0.1169 0.8558  1 Be 1.73



No. 12
Material: Mn2Co
Method: DFT, GGA-PBE
State: relaxed

## Properties
**Energy of formation from the pure elements**: 0.7 kJ/mol of atoms
**Space-group type**: I4_1/amd (141)

Cell lengths 3.5399, 3.5399, 11.0085 Å; angles 99.25, 99.25, 90.00 degrees
Closest atoms and distances in Å follow each position.
Element x y z (fractional)
1 Co 0.0825 0.0825 0.1650  10 Mn 2.50-2.57, 2 Co 2.54
2 Co 0.9175 0.9175 0.8350  10 Mn 2.50-2.57, 2 Co 2.54
3 Co 0.3325 0.8325 0.6650  10 Mn 2.50-2.57, 2 Co 2.54
4 Co 0.1675 0.6675 0.3350  10 Mn 2.50-2.57, 2 Co 2.54
5 Mn 0.2504 0.2504 0.5007  8 Mn 2.47-2.50, 4 Co 2.50-2.51
6 Mn 0.7496 0.7496 0.4993  8 Mn 2.47-2.50, 4 Co 2.50-2.51
7 Mn 0.5004 0.0004 0.0007  8 Mn 2.47-2.50, 4 Co 2.50-2.51
8 Mn 0.9996 0.4996 0.9993  8 Mn 2.47-2.50, 4 Co 2.50-2.51
9 Mn 0.4194 0.4194 0.8388  6 Mn 2.47-2.60, 6 Co 2.50-2.57
10 Mn 0.5806 0.5806 0.1612  6 Mn 2.47-2.60, 6 Co 2.50-2.57
11 Mn 0.6694 0.1694 0.3388  6 Mn 2.47-2.60, 6 Co 2.50-2.57
12 Mn 0.8306 0.3306 0.6612  6 Mn 2.47-2.60, 6 Co 2.50-2.57



no.,Fermi-level density of states (states/eV/f.u.)
1,11.17
2,1.10
3,0.39
4,3.63
5,2.64
6,9.70
7,16.28
8,0.00
9,2.52
10,5.64
11,4.12
12,3.04